No. 1
3
Lattice="4.148 0.000 0.000 0.000 4.148 0.000 -2.074 -2.074 5.476" Properties=species:S:1:pos:R:3 comment="EuYPb (PBE-GGA, relaxed)" dos_ef_per_ev_atom=1.000 e_tot_ev_per_cell=-21.35 formation_energy_mev_per_atom=-302 m_tot_mub_per_fu=8.476 spacegroup=I4mm pbc="T T T"
Y 0.000 0.000 3.309
Pb 2.074 2.074 4.821
Eu 2.074 2.074 1.180


No. 2
3
Lattice="-1.772 -3.009 1.628 1.541 -3.147 -4.137 3.179 0.490 4.364" Properties=species:S:1:pos:R:3 comment="EuYPb (PBE-GGA, relaxed)" dos_ef_per_ev_atom=0.794 e_tot_ev_per_cell=-21.30 formation_energy_mev_per_atom=-284 m_tot_mub_per_fu=7.943 spacegroup=P3m1 pbc="T T T"
Pb -0.186 -0.315 0.171
Y 1.715 -2.566 -0.962
Eu 1.419 -2.784 2.646


No. 3
4
Lattice="-0.269 0.390 -4.043 -3.479 -2.112 0.027 -3.781 6.241 0.853" Properties=species:S:1:pos:R:3 comment="EuYPb2 (PBE-GGA, relaxed)" dos_ef_per_ev_atom=0.561 e_tot_ev_per_cell=-26.11 formation_energy_mev_per_atom=-488 m_tot_mub_per_fu=7.242 spacegroup=P4/mmm pbc="T T T"
Y -1.874 -0.861 -2.008
Eu -3.765 2.259 -1.581
Pb -0.871 1.437 0.196
Pb -2.911 4.804 0.657


No. 4
4
Lattice="3.601 0.000 0.000 1.801 3.119 0.000 1.801 1.040 12.295" Properties=species:S:1:pos:R:3 comment="EuY2Pb (PBE-GGA, relaxed)" e_above_lowest_polymorph_ev_per_atom=0.372 dos_ef_per_ev_atom=1.246 e_tot_ev_per_cell=-26.50 formation_energy_mev_per_atom=102 m_tot_mub_per_fu=7.524 spacegroup=R-3m pbc="T T T"
Pb 0.000 0.000 0.000
Y 1.801 1.040 9.147
Eu 3.601 2.079 6.147
Y 5.402 3.119 3.148


No. 5
4
Lattice="-5.305 0.187 0.832 -3.325 -2.703 -3.242 -2.589 -4.341 1.822" Properties=species:S:1:pos:R:3 comment="EuYZnPb (PBE-GGA, relaxed)" dos_ef_per_ev_atom=0.689 e_tot_ev_per_cell=-23.28 formation_energy_mev_per_atom=-389 m_tot_mub_per_fu=7.620 spacegroup=F-43m pbc="T T T"
Zn -5.609 -3.429 -0.294
Y -8.414 -5.143 -0.441
Eu -2.805 -1.714 -0.147
Pb 0.000 0.000 0.000


No. 6
6
Lattice="-4.137 -3.042 2.334 1.251 -4.423 3.268 -0.898 0.260 5.562" Properties=species:S:1:pos:R:3 comment="EuZn4Pb (PBE-GGA, relaxed)" dos_ef_per_ev_atom=1.599 e_tot_ev_per_cell=-19.91 formation_energy_mev_per_atom=-138 m_tot_mub_per_fu=7.344 spacegroup=F-43m pbc="T T T"
Eu -0.946 -1.801 2.791
Zn -2.988 -2.295 5.344
Pb 0.000 0.000 0.000
Zn -2.364 -4.501 6.974
Zn -1.916 -4.631 4.199
Zn -0.300 -2.984 5.810


No. 7
4
Lattice="3.962 0.000 0.000 0.000 3.962 0.000 0.000 0.000 7.095" Properties=species:S:1:pos:R:3 comment="EuZrPb2 (PBE-GGA, relaxed)" dos_ef_per_ev_atom=0.657 e_tot_ev_per_cell=-27.27 formation_energy_mev_per_atom=-258 m_tot_mub_per_fu=7.698 spacegroup=P4/mmm pbc="T T T"
Pb 0.000 0.000 5.539
Eu 1.981 1.981 3.547
Zr 1.981 1.981 0.000
Pb 0.000 0.000 1.556


No. 8
4
Lattice="4.318 0.000 0.000 2.159 3.740 0.000 2.159 1.247 7.625" Properties=species:S:1:pos:R:3 comment="EuZrPb2 (PBE-GGA, relaxed)" dos_ef_per_ev_atom=2.910 e_tot_ev_per_cell=-26.87 formation_energy_mev_per_atom=-158 m_tot_mub_per_fu=7.059 spacegroup=R-3m pbc="T T T"
Eu 4.318 2.493 3.813
Pb 2.159 1.247 1.663
Zr 0.000 0.000 0.000
Pb 6.478 3.740 5.963


No. 9
3
Lattice="-2.715 0.648 -2.421 2.289 -0.809 -2.786 -1.612 -6.276 2.954" Properties=species:S:1:pos:R:3 comment="Eu2Pd (PBE-GGA, relaxed)" dos_ef_per_ev_atom=5.833 e_tot_ev_per_cell=-27.11 formation_energy_mev_per_atom=-456 m_tot_mub_per_fu=14.660 spacegroup=I4/mmm pbc="T T T"
Eu -0.480 -1.671 0.092
Eu -1.559 -4.766 -2.345
Pd -0.213 -0.081 -2.603


No. 10
15
Lattice="-6.474 3.810 2.281 -5.586 -1.080 -5.410 -5.164 -5.242 2.736" Properties=species:S:1:pos:R:3 comment="Eu3Pd2 (PBE-GGA, relaxed)" dos_ef_per_ev_atom=7.210 e_tot_ev_per_cell=-132.74 formation_energy_mev_per_atom=-608 m_tot_mub_per_fu=7.223 spacegroup=R-3 pbc="T T T"
Eu -7.095 -3.203 2.497
Eu -7.845 2.272 0.358
Eu -10.129 0.691 -2.889
Pd -7.104 -0.004 2.265
Pd -10.140 -3.083 1.860
Eu -10.129 -0.229 2.964
Eu -8.612 -1.256 -0.196
Pd -10.121 -2.508 -2.657
Eu -7.096 -2.283 -3.357
Pd -7.085 0.571 -2.252
Eu -5.144 -0.750 -0.117
Pd -10.706 1.075 0.092
Pd -6.519 -3.587 -0.484
Eu -9.380 -4.784 -0.750
Eu -12.081 -1.762 -0.275


No. 11
14
Lattice="-1.755 5.705 6.416 -7.684 3.894 1.608 -2.224 -5.416 4.783" Properties=species:S:1:pos:R:3 comment="Eu5Pd2 (PBE-GGA, relaxed)" dos_ef_per_ev_atom=7.226 e_tot_ev_per_cell=-129.38 formation_energy_mev_per_atom=-419 m_tot_mub_per_fu=7.332 spacegroup=C2/c pbc="T T T"
Eu -8.118 7.896 8.346
Pd -6.340 -2.063 4.905
Pd -5.323 6.246 7.903
Eu -10.443 4.818 9.754
Eu -6.838 6.455 5.271
Eu -1.220 -0.635 3.053
Eu -7.307 0.457 6.854
Eu -7.274 3.954 8.211
Eu -4.825 -2.272 7.536
Eu -4.389 0.230 4.597
Pd -1.809 1.690 5.286
Pd -9.854 2.494 7.522
Eu -3.545 -3.713 4.462
Eu -4.356 3.726 5.954


No. 12
4
Lattice="5.101 0.000 0.000 2.550 4.417 0.000 2.550 1.472 4.165" Properties=species:S:1:pos:R:3 comment="PmEuPd2 (PBE-GGA, relaxed)" e_above_lowest_polymorph_ev_per_atom=0.024 dos_ef_per_ev_atom=2.185 e_tot_ev_per_cell=-28.28 formation_energy_mev_per_atom=-718 m_tot_mub_per_fu=7.102 spacegroup=Fm-3m pbc="T T T"
Pd 2.550 1.472 1.041
Pd 7.651 4.417 3.123
Eu 5.101 2.945 2.082
Pm 0.000 0.000 0.000


No. 13
4
Lattice="3.657 0.000 0.000 0.000 3.657 0.000 0.000 0.000 9.202" Properties=species:S:1:pos:R:3 comment="PmEu2Pd (PBE-GGA, relaxed)" e_above_lowest_polymorph_ev_per_atom=0.000 dos_ef_per_ev_atom=4.084 e_tot_ev_per_cell=-31.61 formation_energy_mev_per_atom=-279 m_tot_mub_per_fu=14.277 spacegroup=P4/mmm pbc="T T T"
Eu 0.000 0.000 1.750
Pm 1.828 1.828 4.601
Pd 1.828 1.828 0.000
Eu 0.000 0.000 7.452


No. 14
4
Lattice="3.801 0.000 0.000 1.900 3.291 0.000 1.900 1.097 10.863" Properties=species:S:1:pos:R:3 comment="PmEu2Pd (PBE-GGA, relaxed)" e_above_lowest_polymorph_ev_per_atom=0.196 dos_ef_per_ev_atom=3.938 e_tot_ev_per_cell=-30.82 formation_energy_mev_per_atom=-82 m_tot_mub_per_fu=14.711 spacegroup=R-3m pbc="T T T"
Eu 5.701 3.291 3.506
Pm 0.000 0.000 0.000
Pd 3.801 2.194 5.432
Eu 1.900 1.097 7.357


No. 15
4
Lattice="-2.618 2.107 1.502 -0.510 -2.514 2.639 6.239 4.106 5.116" Properties=species:S:1:pos:R:3 comment="Pm2EuPd (PBE-GGA, relaxed)" dos_ef_per_ev_atom=1.127 e_tot_ev_per_cell=-26.28 formation_energy_mev_per_atom=-327 m_tot_mub_per_fu=8.172 spacegroup=P4/mmm pbc="T T T"
Eu 1.556 1.849 4.628
Pd -1.564 -0.204 2.070
Pm 1.161 0.764 0.952
Pm 5.079 3.342 4.164


No. 16
4
Lattice="3.617 0.000 0.000 0.000 3.617 0.000 0.000 0.000 7.266" Properties=species:S:1:pos:R:3 comment="PmEuPd2 (PBE-GGA, relaxed)" e_above_lowest_polymorph_ev_per_atom=0.000 dos_ef_per_ev_atom=2.869 e_tot_ev_per_cell=-28.38 formation_energy_mev_per_atom=-741 m_tot_mub_per_fu=7.085 spacegroup=P4/mmm pbc="T T T"
Eu 1.808 1.808 3.633
Pm 1.808 1.808 0.000
Pd 0.000 0.000 5.606
Pd 0.000 0.000 1.660


No. 17
4
Lattice="-2.574 -0.928 3.183 -0.929 -4.004 0.849 4.294 -1.998 5.657" Properties=species:S:1:pos:R:3 comment="PmEuPd2 (PBE-GGA, relaxed)" e_above_lowest_polymorph_ev_per_atom=0.126 dos_ef_per_ev_atom=3.049 e_tot_ev_per_cell=-27.87 formation_energy_mev_per_atom=-615 m_tot_mub_per_fu=7.003 spacegroup=R-3m pbc="T T T"
Pd 0.132 -1.728 2.370
Eu 0.396 -3.465 4.844
Pd 0.659 -5.202 7.318
Pm 0.000 0.000 0.000


No. 18
5
Lattice="5.679 0.000 0.000 0.000 5.679 0.000 0.000 0.000 5.679" Properties=species:S:1:pos:R:3 comment="Pm3EuPd (PBE-GGA, relaxed)" dos_ef_per_ev_atom=1.742 e_tot_ev_per_cell=-30.40 formation_energy_mev_per_atom=-135 m_tot_mub_per_fu=8.339 spacegroup=Pm-3m pbc="T T T"
Pd 0.000 0.000 0.000
Pm 0.000 0.000 2.840
Pm 2.840 0.000 0.000
Eu 2.840 2.840 2.840
Pm 0.000 2.840 0.000


No. 19
4
Lattice="-2.467 4.430 -0.295 -4.047 0.854 2.948 0.299 3.333 3.821" Properties=species:S:1:pos:R:3 comment="PmEuPdPt (PBE-GGA, relaxed)" dos_ef_per_ev_atom=2.291 e_tot_ev_per_cell=-29.76 formation_energy_mev_per_atom=-875 m_tot_mub_per_fu=7.062 spacegroup=F-43m pbc="T T T"
Pm -3.108 4.308 3.237
Pd -1.554 2.154 1.618
Pt -4.662 6.462 4.855
Eu 0.000 0.000 0.000


No. 20
4
Lattice="-1.000 4.690 2.339 -4.785 2.293 -0.558 -3.338 0.252 4.154" Properties=species:S:1:pos:R:3 comment="PmEuTlPd (PBE-GGA, relaxed)" dos_ef_per_ev_atom=2.292 e_tot_ev_per_cell=-24.44 formation_energy_mev_per_atom=-464 m_tot_mub_per_fu=7.042 spacegroup=F-43m pbc="T T T"
Pm -4.561 3.617 2.968
Pd -2.281 1.809 1.484
Eu 0.000 0.000 0.000
Tl -6.842 5.426 4.451


No. 21
4
Lattice="-4.628 -2.231 -0.482 -0.359 -5.129 -0.433 -1.937 -2.788 3.886" Properties=species:S:1:pos:R:3 comment="PmEuZnPd (PBE-GGA, relaxed)" dos_ef_per_ev_atom=1.776 e_tot_ev_per_cell=-23.41 formation_energy_mev_per_atom=-479 m_tot_mub_per_fu=6.989 spacegroup=F-43m pbc="T T T"
Zn -5.193 -7.611 2.228
Pd -1.731 -2.537 0.743
Pm 0.000 0.000 0.000
Eu -3.462 -5.074 1.486


No. 22
4
Lattice="-1.015 -0.479 3.883 -3.029 -2.481 1.006 5.047 -8.491 2.376" Properties=species:S:1:pos:R:3 comment="Pr2EuPd (PBE-GGA, relaxed)" e_above_lowest_polymorph_ev_per_atom=0.044 dos_ef_per_ev_atom=1.187 e_tot_ev_per_cell=-26.07 formation_energy_mev_per_atom=-260 m_tot_mub_per_fu=7.995 spacegroup=R-3m pbc="T T T"
Pd 0.000 0.000 0.000
Pr -0.204 -2.329 1.763
Pr 1.206 -9.121 5.502
Eu 0.501 -5.725 3.632


No. 23
4
Lattice="3.833 0.000 0.000 1.916 3.319 0.000 1.916 1.106 10.898" Properties=species:S:1:pos:R:3 comment="PrEu2Pd (PBE-GGA, relaxed)" e_above_lowest_polymorph_ev_per_atom=0.184 dos_ef_per_ev_atom=4.278 e_tot_ev_per_cell=-30.95 formation_energy_mev_per_atom=-107 m_tot_mub_per_fu=14.696 spacegroup=R-3m pbc="T T T"
Pr 0.000 0.000 0.000
Eu 1.916 1.106 7.354
Eu 5.749 3.319 3.545
Pd 3.833 2.213 5.449


No. 24
4
Lattice="-1.280 -1.390 3.213 -1.349 -2.962 -1.818 7.917 -4.378 1.259" Properties=species:S:1:pos:R:3 comment="Pr2EuPd (PBE-GGA, relaxed)" e_above_lowest_polymorph_ev_per_atom=0.000 dos_ef_per_ev_atom=1.176 e_tot_ev_per_cell=-26.24 formation_energy_mev_per_atom=-304 m_tot_mub_per_fu=8.277 spacegroup=P4/mmm pbc="T T T"
Pr 6.430 -3.556 1.023
Eu 2.644 -4.365 1.328
Pd -1.314 -2.176 0.698
Pr 1.487 -0.822 0.236


No. 25
4
Lattice="-1.188 3.154 1.466 -3.201 -0.386 -1.763 -3.417 -4.643 7.219" Properties=species:S:1:pos:R:3 comment="PrEu2Pd (PBE-GGA, relaxed)" e_above_lowest_polymorph_ev_per_atom=0.000 dos_ef_per_ev_atom=4.309 e_tot_ev_per_cell=-31.69 formation_energy_mev_per_atom=-291 m_tot_mub_per_fu=14.264 spacegroup=P4/mmm pbc="T T T"
Pr -3.903 -0.937 3.461
Eu -2.773 -3.768 5.859
Eu -0.644 -0.875 1.361
Pd -2.195 1.384 -0.149


No. 26
4
Lattice="5.120 0.000 0.000 2.560 4.434 0.000 2.560 1.478 4.180" Properties=species:S:1:pos:R:3 comment="PrEuPdPt (PBE-GGA, relaxed)" dos_ef_per_ev_atom=2.321 e_tot_ev_per_cell=-29.69 formation_energy_mev_per_atom=-852 m_tot_mub_per_fu=7.073 spacegroup=F-43m pbc="T T T"
Pd 2.560 1.478 1.045
Eu 0.000 0.000 0.000
Pt 7.679 4.434 3.135
Pr 5.120 2.956 2.090


No. 27
6
Lattice="-2.512 -4.721 -0.456 2.773 -4.571 0.468 -0.667 -3.113 4.321" Properties=species:S:1:pos:R:3 comment="EuPdPt4 (PBE-GGA, relaxed)" dos_ef_per_ev_atom=2.644 e_tot_ev_per_cell=-42.69 formation_energy_mev_per_atom=-509 m_tot_mub_per_fu=6.488 spacegroup=F-43m pbc="T T T"
Pt -0.253 -7.749 2.707
Pt 0.999 -5.395 2.934
Pt -1.636 -5.470 2.474
Pd -0.101 -3.101 1.083
Pt 0.079 -6.197 0.553
Eu 0.000 0.000 0.000


No. 28
4
Lattice="-0.732 -1.243 -3.333 3.125 -3.934 0.781 -3.878 -2.711 1.863" Properties=species:S:1:pos:R:3 comment="Eu2PdPt (PBE-GGA, relaxed)" dos_ef_per_ev_atom=5.875 e_tot_ev_per_cell=-34.89 formation_energy_mev_per_atom=-777 m_tot_mub_per_fu=13.785 spacegroup=P4/mmm pbc="T T T"
Eu -1.939 -1.355 0.932
Eu 1.563 -1.967 0.390
Pt -0.742 -3.944 -0.345
Pd -0.366 -0.621 -1.666


No. 29
4
Lattice="-3.767 1.002 1.300 -0.999 -4.095 0.261 1.359 -0.077 3.997" Properties=species:S:1:pos:R:3 comment="EuPd2Pt (PBE-GGA, relaxed)" dos_ef_per_ev_atom=3.528 e_tot_ev_per_cell=-28.88 formation_energy_mev_per_atom=-545 m_tot_mub_per_fu=6.546 spacegroup=P4/mmm pbc="T T T"
Pd -0.499 -2.047 0.130
Pd 0.680 -0.038 1.999
Pt -1.883 0.501 0.650
Eu -1.703 -1.585 2.779